1.
# Mn2AuCl | Alexandria via LeMat-Bulk | PBE | relaxed
data_Mn2AuCl
_chemical_formula_sum 'Mn8 Au4 Cl4'
_cell_length_a 6.567
_cell_length_b 6.567
_cell_length_c 6.567
_cell_angle_alpha 90.00
_cell_angle_beta 90.00
_cell_angle_gamma 90.00
_space_group_name_H-M_alt 'P 1'
_space_group_IT_number 1
loop_
_space_group_symop_operation_xyz
'x,y,z'
loop_
_atom_site_label
_atom_site_type_symbol
_atom_site_fract_x
_atom_site_fract_y
_atom_site_fract_z
_atom_site_occupancy
Mn1 Mn 0.250 0.250 0.250 1
Mn2 Mn 0.250 0.250 0.750 1
Mn3 Mn 0.250 0.750 0.250 1
Mn4 Mn 0.250 0.750 0.750 1
Mn5 Mn 0.750 0.250 0.250 1
Mn6 Mn 0.750 0.250 0.750 1
Mn7 Mn 0.750 0.750 0.250 1
Mn8 Mn 0.750 0.750 0.750 1
Au1 Au 0.000 0.000 0.000 1
Au2 Au 0.000 0.500 0.500 1
Au3 Au 0.500 0.000 0.500 1
Au4 Au 0.500 0.500 0.000 1
Cl1 Cl 0.000 0.000 0.500 1
Cl2 Cl 0.000 0.500 0.000 1
Cl3 Cl 0.500 0.000 0.000 1
Cl4 Cl 0.500 0.500 0.500 1
# Spin magnetization (μB per atom): 2.0779
# Space group: Fm-3m (225)
# Offset from the most stable computed form (meV per atom): 377
# E_form (uncorrected) (eV/atom): 0.291

---

2.
# Mn2AuCl | Alexandria via LeMat-Bulk | PBE | relaxed
data_Mn2AuCl
_chemical_formula_sum 'Mn6 Au3 Cl3'
_cell_length_a 3.379
_cell_length_b 3.379
_cell_length_c 22.636
_cell_angle_alpha 90.00
_cell_angle_beta 90.00
_cell_angle_gamma 120.00
_space_group_name_H-M_alt 'P 1'
_space_group_IT_number 1
loop_
_space_group_symop_operation_xyz
'x,y,z'
loop_
_atom_site_label
_atom_site_type_symbol
_atom_site_fract_x
_atom_site_fract_y
_atom_site_fract_z
_atom_site_occupancy
Mn1 Mn 0.000 0.000 0.248 1
Mn2 Mn 0.000 0.000 0.752 1
Mn3 Mn 0.333 0.667 0.419 1
Mn4 Mn 0.333 0.667 0.915 1
Mn5 Mn 0.667 0.333 0.085 1
Mn6 Mn 0.667 0.333 0.581 1
Au1 Au 0.000 0.000 0.500 1
Au2 Au 0.333 0.667 0.167 1
Au3 Au 0.667 0.333 0.833 1
Cl1 Cl 0.000 0.000 0.000 1
Cl2 Cl 0.333 0.667 0.667 1
Cl3 Cl 0.667 0.333 0.333 1
# Spin magnetization (μB per atom): 2.1944
# Space group: R-3m (166)
# Offset from the most stable computed form (meV per atom): 94
# E_form (uncorrected) (eV/atom): 0.009

---

3.
# Mn2AuCl | Alexandria via LeMat-Bulk | PBE | relaxed
data_Mn2AuCl
_chemical_formula_sum 'Mn8 Au4 Cl4'
_cell_length_a 6.573
_cell_length_b 6.573
_cell_length_c 6.573
_cell_angle_alpha 90.00
_cell_angle_beta 90.00
_cell_angle_gamma 90.00
_space_group_name_H-M_alt 'P 1'
_space_group_IT_number 1
loop_
_space_group_symop_operation_xyz
'x,y,z'
loop_
_atom_site_label
_atom_site_type_symbol
_atom_site_fract_x
_atom_site_fract_y
_atom_site_fract_z
_atom_site_occupancy
Mn1 Mn 0.000 0.000 0.000 1
Mn2 Mn 0.000 0.500 0.500 1
Mn3 Mn 0.250 0.250 0.250 1
Mn4 Mn 0.250 0.750 0.750 1
Mn5 Mn 0.500 0.000 0.500 1
Mn6 Mn 0.500 0.500 0.000 1
Mn7 Mn 0.750 0.250 0.750 1
Mn8 Mn 0.750 0.750 0.250 1
Au1 Au 0.000 0.000 0.500 1
Au2 Au 0.000 0.500 0.000 1
Au3 Au 0.500 0.000 0.000 1
Au4 Au 0.500 0.500 0.500 1
Cl1 Cl 0.250 0.250 0.750 1
Cl2 Cl 0.250 0.750 0.250 1
Cl3 Cl 0.750 0.250 0.250 1
Cl4 Cl 0.750 0.750 0.750 1
# Spin magnetization (μB per atom): 1.9928
# Space group: F-43m (216)
# Offset from the most stable computed form (meV per atom): 714
# E_form (uncorrected) (eV/atom): 0.629

---

4.
# Mn2AuCl | Alexandria via LeMat-Bulk | PBE | relaxed
data_Mn2AuCl
_chemical_formula_sum 'Mn2 Au1 Cl1'
_cell_length_a 4.812
_cell_length_b 4.812
_cell_length_c 3.079
_cell_angle_alpha 90.00
_cell_angle_beta 90.00
_cell_angle_gamma 90.00
_space_group_name_H-M_alt 'P 1'
_space_group_IT_number 1
loop_
_space_group_symop_operation_xyz
'x,y,z'
loop_
_atom_site_label
_atom_site_type_symbol
_atom_site_fract_x
_atom_site_fract_y
_atom_site_fract_z
_atom_site_occupancy
Mn1 Mn 0.000 0.500 0.000 1
Mn2 Mn 0.500 0.000 0.000 1
Au1 Au 0.000 0.000 0.501 1
Cl1 Cl 0.500 0.500 0.004 1
# Spin magnetization (μB per atom): 2.0518
# Space group: P4mm (99)
# Offset from the most stable computed form (meV per atom): 119
# E_form (uncorrected) (eV/atom): 0.034